No. 1
An optimized crystal structure of NaHoBiAu. Source: Alexandria, functional GGA-PBE.

Cell lengths 5.234, 5.234, 5.234 Å; angles 60.00, 60.00, 60.00 degrees
Positions (direct):
Na 0.000 0.000 0.000
Au 0.750 0.750 0.750
Bi 0.250 0.250 0.250
Ho 0.500 0.500 0.500

Properties
**Mass density**: 9.73 g cm⁻³
**Symmetry**: F-43m (216)
**Formation energy from the elements**: -0.571 eV/atom

---

No. 2
An optimized crystal structure of HoBiPdAu. Source: Alexandria, functional GGA-PBE.

Cell lengths 4.993, 4.993, 4.993 Å; angles 60.00, 60.00, 60.00 degrees
Positions (direct):
Au 0.000 0.000 0.000
Bi 0.250 0.250 0.250
Pd 0.500 0.500 0.500
Ho 0.750 0.750 0.750

Properties
**Mass density**: 12.78 g cm⁻³
**Symmetry**: F-43m (216)
**Formation energy from the elements**: -0.622 eV/atom

---

No. 3
An optimized crystal structure of PmHoBiAu. Source: Alexandria, functional GGA-PBE.

Cell lengths 5.339, 5.339, 5.339 Å; angles 60.00, 60.00, 60.00 degrees
Last column: magnetic moment on the atom in μB.
Positions (direct):
Pm 0.250 0.250 0.250  0.20
Au 0.000 0.000 0.000  0.03
Bi 0.500 0.500 0.500  -0.01
Ho 0.750 0.750 0.750  0.23

Properties
**Mass density**: 11.04 g cm⁻³
**Symmetry**: F-43m (216)
**Formation energy from the elements**: -0.649 eV/atom

---

No. 4
An optimized crystal structure of Ho4BiAuSe2. Source: Alexandria, functional GGA-PBE.

Cell lengths 4.113, 7.552, 7.091 Å; angles 71.74, 90.00, 90.00 degrees
Positions (direct):
Ho 0.000 0.766 0.734
Ho 0.000 0.234 0.266
Ho 0.500 0.757 0.261
Ho 0.500 0.243 0.739
Bi 0.500 0.500 0.000
Au 0.000 0.500 0.500
Se 0.000 0.000 0.000
Se 0.500 0.000 0.500

Properties
**Mass density**: 9.71 g cm⁻³
**Symmetry**: P2/m (10)
**Formation energy (no corrections)**: -1234 meV per atom

---

No. 5
An optimized crystal structure of HoZnBiAu. Source: Alexandria, functional GGA-PBE.

Cell lengths 5.075, 5.075, 5.075 Å; angles 60.00, 60.00, 60.00 degrees
Positions (direct):
Zn 0.000 0.000 0.000
Au 0.500 0.500 0.500
Bi 0.250 0.250 0.250
Ho 0.750 0.750 0.750

Properties
**Mass density**: 11.43 g cm⁻³
**Symmetry**: F-43m (216)
**Formation energy from the elements**: -0.339 eV/atom

---

No. 6
An optimized crystal structure of Bi2AuI. Source: Alexandria, functional GGA-PBE.

Cell lengths 9.190, 9.190, 7.160 Å; angles 50.07, 50.07, 90.00 degrees
Positions (direct):
I 0.500 0.500 0.000
I 0.250 0.750 0.500
Au 0.000 0.000 0.000
Au 0.750 0.250 0.500
Bi 0.706 0.125 0.250
Bi 0.044 0.625 0.250
Bi 0.375 0.294 0.750
Bi 0.875 0.956 0.750

Properties
**Mass density**: 9.71 g cm⁻³
**Symmetry**: I-42d (122)
**Formation energy (no corrections)**: 94 meV per atom

---

No. 7
An optimized crystal structure of BiAuI3. Source: Alexandria, functional GGA-PBE.

Cell lengths 5.625, 5.625, 5.625 Å; angles 90.00, 90.00, 90.00 degrees
Positions (direct):
I 0.000 0.500 0.000
I 0.000 0.000 0.500
I 0.500 0.000 0.000
Au 0.000 0.000 0.000
Bi 0.500 0.500 0.500

Properties
**Mass density**: 7.34 g cm⁻³
**Symmetry**: Pm-3m (221)
**Formation energy (no corrections)**: 268 meV per atom

---

No. 8
An optimized crystal structure of Bi2AuI. Source: Alexandria, functional GGA-PBE.

Cell lengths 4.564, 4.564, 7.865 Å; angles 73.13, 73.13, 60.00 degrees
Positions (direct):
I 0.500 0.500 0.500
Au 0.000 0.000 0.000
Bi 0.279 0.279 0.163
Bi 0.721 0.721 0.837

Properties
**Mass density**: 9.22 g cm⁻³
**Symmetry**: R-3m (166)
**Formation energy (no corrections)**: -157 meV per atom

---

No. 9
An optimized crystal structure of BiAuI6. Source: Alexandria, functional GGA-PBE.

Cell lengths 8.720, 9.124, 7.850 Å; angles 75.91, 71.06, 41.39 degrees
Positions (direct):
Bi 0.500 0.500 0.500
Au 0.000 0.000 0.000
I 0.119 0.524 0.691
I 0.610 0.232 0.867
I 0.733 0.073 0.329
I 0.390 0.768 0.133
I 0.881 0.476 0.309
I 0.267 0.927 0.671

Properties
**Mass density**: 4.96 g cm⁻³
**Symmetry**: P-1 (2)
**Formation energy (no corrections)**: -177 meV per atom

---

No. 10
An optimized crystal structure of Bi2AuI. Source: Alexandria, functional GGA-PBE.

Cell lengths 5.442, 5.442, 5.442 Å; angles 60.00, 60.00, 60.00 degrees
Positions (direct):
I 0.000 0.000 0.000
Au 0.500 0.500 0.500
Bi 0.250 0.250 0.250
Bi 0.750 0.750 0.750

Properties
**Mass density**: 10.81 g cm⁻³
**Symmetry**: Fm-3m (225)
**Formation energy (no corrections)**: 273 meV per atom

---

No. 11
An optimized crystal structure of Bi2AuI2. Source: Alexandria, functional GGA-PBE.

Cell lengths 4.282, 7.985, 11.390 Å; angles 86.45, 100.83, 90.00 degrees
Positions (direct):
Bi 0.209 0.935 0.417
Bi 0.791 0.065 0.583
Bi 0.337 0.657 0.673
Bi 0.663 0.343 0.327
Au 0.209 0.560 0.418
Au 0.791 0.440 0.582
I 0.073 0.177 0.146
I 0.927 0.823 0.854
I 0.402 0.311 0.804
I 0.598 0.689 0.196

Properties
**Mass density**: 7.56 g cm⁻³
**Symmetry**: C2/m (12)
**Formation energy (no corrections)**: -59 meV per atom

---

No. 12
An optimized crystal structure of Bi2AuI2. Source: Alexandria, functional GGA-PBE.

Cell lengths 7.642, 7.642, 6.118 Å; angles 90.00, 90.00, 90.00 degrees
Positions (direct):
I 0.311 0.811 0.500
I 0.811 0.689 0.500
I 0.689 0.189 0.500
I 0.189 0.311 0.500
Au 0.000 0.000 0.000
Au 0.500 0.500 0.000
Bi 0.349 0.849 0.000
Bi 0.849 0.651 0.000
Bi 0.651 0.151 0.000
Bi 0.151 0.349 0.000

Properties
**Mass density**: 8.07 g cm⁻³
**Symmetry**: P4/mbm (127)
**Formation energy (no corrections)**: -72 meV per atom

---

No. 13
An optimized crystal structure of Bi2AuI. Source: Alexandria, functional GGA-PBE.

Cell lengths 4.675, 4.675, 7.676 Å; angles 72.27, 72.27, 60.00 degrees
Positions (direct):
Bi 0.051 0.051 0.848
Bi 0.280 0.280 0.161
Au 0.667 0.667 0.000
I 0.503 0.503 0.491

Properties
**Mass density**: 9.06 g cm⁻³
**Symmetry**: R3m (160)
**Formation energy (no corrections)**: -152 meV per atom

---

No. 14
An optimized crystal structure of Bi3AuI. Source: Alexandria, functional GGA-PBE.

Cell lengths 5.653, 5.653, 5.653 Å; angles 90.00, 90.00, 90.00 degrees
Positions (direct):
I 0.500 0.500 0.500
Au 0.000 0.000 0.000
Bi 0.000 0.500 0.000
Bi 0.000 0.000 0.500
Bi 0.500 0.000 0.000

Properties
**Mass density**: 8.74 g cm⁻³
**Symmetry**: Pm-3m (221)
**Formation energy (no corrections)**: 454 meV per atom

---

No. 15
An optimized crystal structure of BiAuI3. Source: Alexandria, functional GGA-PBE.

Cell lengths 6.131, 6.131, 6.131 Å; angles 90.00, 90.00, 90.00 degrees
Last column: magnetic moment on the atom in μB.
Positions (direct):
I 0.000 0.500 0.000  0.02
I 0.000 0.000 0.500  0.01
I 0.500 0.000 0.000  0.04
Au 0.500 0.500 0.500  0.35
Bi 0.000 0.000 0.000  0.07

Properties
**Mass density**: 5.67 g cm⁻³
**Symmetry**: Pm-3m (221)
**Formation energy (no corrections)**: 309 meV per atom

---

No. 16
An optimized crystal structure of BiAuI4. Source: Alexandria, functional GGA-PBE.

Cell lengths 7.828, 7.770, 11.215 Å; angles 103.20, 103.40, 109.78 degrees
Positions (direct):
Bi 0.804 0.054 0.108
Bi 0.196 0.946 0.892
Au 0.406 0.656 0.312
Au 0.594 0.344 0.688
I 0.273 0.061 0.651
I 0.046 0.807 0.101
I 0.122 0.410 0.349
I 0.445 0.706 0.899
I 0.727 0.939 0.349
I 0.878 0.590 0.651
I 0.954 0.193 0.899
I 0.555 0.294 0.101

Properties
**Mass density**: 5.16 g cm⁻³
**Symmetry**: C2/c (15)
**Formation energy (no corrections)**: -292 meV per atom

---

No. 17
An optimized crystal structure of BiAuI4. Source: Alexandria, functional GGA-PBE.

Cell lengths 7.683, 8.380, 9.353 Å; angles 111.63, 108.92, 101.13 degrees
Positions (direct):
Bi 0.335 0.585 0.171
Bi 0.665 0.415 0.829
Au 0.079 0.829 0.658
Au 0.921 0.171 0.342
I 0.955 0.276 0.093
I 0.638 0.816 0.093
I 0.308 0.422 0.581
I 0.692 0.578 0.419
I 0.227 0.841 0.419
I 0.362 0.184 0.907
I 0.773 0.159 0.581
I 0.045 0.724 0.907

Properties
**Mass density**: 6.13 g cm⁻³
**Symmetry**: C2/c (15)
**Formation energy (no corrections)**: -165 meV per atom

---

No. 18
An optimized crystal structure of NaBiAu2I. Source: Alexandria, functional GGA-PBE.

Cell lengths 5.452, 6.273, 5.452 Å; angles 90.00, 90.00, 90.00 degrees
Last column: magnetic moment on the atom in μB.
Positions (direct):
I 0.000 0.000 0.000  0.00
Na 0.500 0.500 0.500  0.00
Au 0.000 0.000 0.500  0.02
Au 0.500 0.000 0.000  0.01
Bi 0.000 0.500 0.000  0.59

Properties
**Mass density**: 6.70 g cm⁻³
**Symmetry**: P4/mmm (123)
**Formation energy (no corrections)**: 522 meV per atom

---

No. 19
An optimized crystal structure of Rb2BiAuI6. Source: Alexandria, functional GGA-PBE.

Cell lengths 9.095, 13.045, 8.619 Å; angles 90.00, 99.92, 90.00 degrees
Positions (direct):
Rb 0.067 0.807 0.211
Rb 0.567 0.693 0.711
Rb 0.933 0.193 0.789
Rb 0.433 0.307 0.289
Bi 0.500 0.000 0.000
Bi 0.000 0.500 0.500
Au 0.500 0.000 0.500
Au 0.000 0.500 0.000
I 0.445 0.778 0.097
I 0.945 0.722 0.597
I 0.555 0.222 0.903
I 0.055 0.278 0.403
I 0.287 0.572 0.384
I 0.787 0.928 0.884
I 0.713 0.428 0.616
I 0.213 0.072 0.116
I 0.802 0.553 0.167
I 0.302 0.947 0.667
I 0.198 0.447 0.833
I 0.698 0.053 0.333

Properties
**Mass density**: 4.41 g cm⁻³
**Symmetry**: P2_1/c (14)
**Formation energy (no corrections)**: -788 meV per atom

---

No. 20
An optimized crystal structure of Rb2BiAuI6. Source: Alexandria, functional GGA-PBE.

Cell lengths 8.581, 8.581, 8.581 Å; angles 60.00, 60.00, 60.00 degrees
Positions (direct):
Rb 0.750 0.750 0.750
Rb 0.250 0.250 0.250
Bi 0.000 0.000 0.000
Au 0.500 0.500 0.500
I 0.745 0.255 0.255
I 0.255 0.255 0.745
I 0.255 0.745 0.745
I 0.255 0.745 0.255
I 0.745 0.255 0.745
I 0.745 0.745 0.255

Properties
**Mass density**: 4.97 g cm⁻³
**Symmetry**: Fm-3m (225)
**Formation energy (no corrections)**: -732 meV per atom